# NaScV2Os (PBE, optimized geometry)
data_NaScV2Os
_symmetry_space_group_name_H-M 'P 4/m m m'
_symmetry_Int_Tables_number 123
_symmetry_space_group_name_Hall '-P 4 2'
_cell_length_a 4.619
_cell_length_b 4.619
_cell_length_c 4.711
_cell_angle_alpha 90.00
_cell_angle_beta 90.00
_cell_angle_gamma 90.00
loop_
_atom_site_label
_atom_site_type_symbol
_atom_site_fract_x
_atom_site_fract_y
_atom_site_fract_z
Na1 Na 0.000 0.000 0.000
Sc1 Sc 0.500 0.500 0.500
V1 V 0.000 0.500 0.500
Os1 Os 0.500 0.500 0.000
# * D(E_F): 10.08 states/eV/f.u.
# * crystal system: tetragonal
# * uncorrected energy: -5.62 eV per atom
# * DFT formation energy: 1.800 eV/atom

# NaOs3Se (PBE, optimized geometry)
data_NaOs3Se
_symmetry_space_group_name_H-M 'P m -3 m'
_symmetry_Int_Tables_number 221
_symmetry_space_group_name_Hall '-P 4 2 3'
_cell_length_a 4.585
_cell_length_b 4.585
_cell_length_c 4.585
_cell_angle_alpha 90.00
_cell_angle_beta 90.00
_cell_angle_gamma 90.00
loop_
_atom_site_label
_atom_site_type_symbol
_atom_site_fract_x
_atom_site_fract_y
_atom_site_fract_z
Na1 Na 0.000 0.000 0.000
Os1 Os 0.000 0.500 0.500
Se1 Se 0.500 0.500 0.500
# * D(E_F): 5.61 states/eV/f.u.
# * relative energy among the computed polymorphs: 0 meV per atom
# * crystal system: cubic
# * uncorrected energy: -6.04 eV per atom
# * ΔE_f (raw): 1.661 eV/atom